[1]
# YBeRh4

YBeRh4 after structural relaxation (PBE-GGA, the Alexandria database).

Values from the calculation:
ΔE_f (kJ/mol of atoms): -19
Magnetic moment (μB/f.u.): 0.00
VASP energy (Ry per atom): -0.4997

Cell lengths 5.1896, 5.1896, 5.1896 Å; angles 60.00, 60.00, 60.00 degrees
Positions (direct):
Y (0.0000, 0.0000, 0.0000)
Be (0.2500, 0.2500, 0.2500)
Rh (0.1271, 0.6243, 0.6243)
Rh (0.6243, 0.1271, 0.6243)
Rh (0.6243, 0.6243, 0.1271)
Rh (0.6243, 0.6243, 0.6243)

[2]
# Ba2YFePb

Ba2YFePb after structural relaxation (PBE-GGA, the Alexandria database).

Values from the calculation:
ΔE_f (kJ/mol of atoms): 44
Magnetic moment (μB/f.u.): 0.00
VASP energy (Ry per atom): -0.2970

Cell lengths 5.7500, 5.7500, 5.2532 Å; angles 90.00, 90.00, 90.00 degrees
Positions (direct):
Ba (0.0000, 0.5000, 0.0000)
Ba (0.5000, 0.0000, 0.0000)
Y (0.0000, 0.0000, 0.5000)
Fe (0.5000, 0.5000, 0.0000)
Pb (0.5000, 0.5000, 0.5000)

[3]
# BaY2Cl

BaY2Cl after structural relaxation (PBE-GGA, the Alexandria database).

Values from the calculation:
Formation energy without anion corrections (meV per atom): -266.9
Polymorph energy (0 for the lowest one) (eV/atom): 0.332
Magnetic moment (μB/f.u.): 0.64
VASP energy (Ry per atom): -0.3264

Cell lengths 3.5797, 3.5797, 10.1049 Å; angles 90.00, 90.00, 90.00 degrees
Positions (direct):
Ba (0.0000, 0.0000, 0.0000)
Y (0.5000, 0.5000, 0.3060)
Y (0.5000, 0.5000, 0.6940)
Cl (0.0000, 0.0000, 0.5000)

[4]
# Er3BiTe3

Er3BiTe3 after structural relaxation (PBE-GGA, the Alexandria database).

Values from the calculation:
Formation energy without anion corrections (meV per atom): -998.5
Magnetic moment (μB/f.u.): 0.00
VASP energy (Ry per atom): -0.3568

Cell lengths 11.8202, 11.8202, 11.8202 Å; angles 38.06, 38.06, 38.06 degrees
Positions (direct):
Er (0.0628, 0.4354, 0.6903)
Er (0.3097, 0.9372, 0.5646)
Er (0.4354, 0.6903, 0.0628)
Er (0.5646, 0.3097, 0.9372)
Er (0.6903, 0.0628, 0.4354)
Er (0.9372, 0.5646, 0.3097)
Bi (0.3333, 0.3333, 0.3333)
Bi (0.6667, 0.6667, 0.6667)
Te (0.1069, 0.8042, 0.4093)
Te (0.1958, 0.5907, 0.8931)
Te (0.4093, 0.1069, 0.8042)
Te (0.5907, 0.8931, 0.1958)
Te (0.8042, 0.4093, 0.1069)
Te (0.8931, 0.1958, 0.5907)

[5]
# PaSiGeOs

PaSiGeOs after structural relaxation (PBE-GGA, the Alexandria database).

Values from the calculation:
Formation energy without anion corrections (meV per atom): -520.3
Magnetic moment (μB/f.u.): 0.00
VASP energy (Ry per atom): -0.6036

Cell lengths 4.1381, 4.1381, 8.8417 Å; angles 90.00, 90.00, 90.00 degrees
Positions (direct):
Pa (0.2500, 0.2500, 0.2347)
Pa (0.7500, 0.7500, 0.7653)
Si (0.2500, 0.2500, 0.6405)
Si (0.7500, 0.7500, 0.3595)
Ge (0.2500, 0.2500, 0.9090)
Ge (0.7500, 0.7500, 0.0910)
Os (0.2500, 0.7500, 0.5000)
Os (0.7500, 0.2500, 0.5000)

[6]
# Er4TlPt

Er4TlPt after structural relaxation (PBE-GGA, the Alexandria database).

Values from the calculation:
ΔE_f (kJ/mol of atoms): -41
Polymorph energy (0 for the lowest one) (eV/atom): 0.214
Magnetic moment (μB/f.u.): 0.00
VASP energy (Ry per atom): -0.3581

Cell lengths 7.4308, 7.0303, 6.9213 Å; angles 90.00, 91.85, 90.00 degrees
Positions (direct):
Er (0.1412, 0.1599, 0.1710)
Er (0.1412, 0.3401, 0.6710)
Er (0.3204, 0.6417, 0.1250)
Er (0.3204, 0.8583, 0.6250)
Er (0.6796, 0.1417, 0.3750)
Er (0.6796, 0.3583, 0.8750)
Er (0.8588, 0.6599, 0.3290)
Er (0.8588, 0.8401, 0.8290)
Tl (0.5000, 0.0000, 0.0000)
Tl (0.5000, 0.5000, 0.5000)
Pt (0.0000, 0.0000, 0.5000)
Pt (0.0000, 0.5000, 0.0000)

> What is the VASP energy in the fifth record?

-0.6036 Ry per atom

> Which value of VASP energy does entry 3 give?

-0.3264 Ry per atom

What did the first record say?
# YBeRh4

YBeRh4 after structural relaxation (PBE-GGA, the Alexandria database).

Values from the calculation:
ΔE_f (kJ/mol of atoms): -19
Magnetic moment (μB/f.u.): 0.00
VASP energy (Ry per atom): -0.4997

Cell lengths 5.1896, 5.1896, 5.1896 Å; angles 60.00, 60.00, 60.00 degrees
Positions (direct):
Y (0.0000, 0.0000, 0.0000)
Be (0.2500, 0.2500, 0.2500)
Rh (0.1271, 0.6243, 0.6243)
Rh (0.6243, 0.1271, 0.6243)
Rh (0.6243, 0.6243, 0.1271)
Rh (0.6243, 0.6243, 0.6243)

> What is the magnetic moment in the sixth record?

0.00 μB/f.u.